# Pr2Sm2DyTm2

Crystalline Pr2Sm2DyTm2 at its relaxed geometry (PBE, the Alexandria database).

Cell lengths 5.0914, 6.2422, 8.0503 Å; angles 97.53, 90.00, 114.07 degrees
Element x y z (fractional)
Pr 0.1433 0.2866 0.4273
Pr 0.8567 0.7134 0.5727
Sm 0.5706 0.1411 0.7206
Sm 0.4294 0.8589 0.2794
Dy 0.0000 0.0000 0.0000
Tm 0.7154 0.4309 0.1388
Tm 0.2846 0.5691 0.8612

Values from the calculation:
The calculation puts the raw total energy at -4.63 eV per atom. The density of states at the Fermi level is 1.428 states/eV per atom. The formation energy comes out at 22.6 meV/atom. The size of the total moment comes out at 0.000 μB/cell.